[1]
DFT (PBE) results for Pm6SbTe3Pb2 after structural relaxation.

Values from the calculation:
Total energy (eV per atom): -5.26
Energy relative to the elements, uncorrected (meV per atom): -1135
Mass density (g cm⁻³): 7.63
SG: C2/m

POSCAR file:
```
Pm6SbTe3Pb2
1.0
9.816 -2.259 0.000
9.816 2.259 0.000
-2.045 0.000 8.778
Pm Sb Te Pb
6 1 3 2
Cartesian
-0.459 0.000 2.150 Pm
5.658 0.000 3.697 Pm
4.718 0.000 8.012 Pm
12.869 0.000 0.766 Pm
11.930 0.000 5.082 Pm
18.047 0.000 6.628 Pm
9.816 0.000 0.000 Sb
1.559 0.000 7.315 Te
8.794 0.000 4.389 Te
16.029 0.000 1.463 Te
2.590 0.000 2.919 Pb
14.998 0.000 5.860 Pb
```

=====

[2]
DFT (PBE) results for Pm6Sb3Te2Pb after structural relaxation.

Values from the calculation:
Total energy (eV per atom): -5.43
Energy relative to the elements, uncorrected (meV per atom): -1194
Mass density (g cm⁻³): 7.30
SG: C2/m

POSCAR file:
```
Pm6Sb3Te2Pb
1.0
9.794 -2.247 0.000
9.794 2.247 0.000
-2.061 0.000 8.777
Pm Sb Te Pb
6 3 2 1
Cartesian
-0.489 0.000 2.190 Pm
5.665 0.000 3.707 Pm
4.699 0.000 7.993 Pm
12.829 0.000 0.783 Pm
11.863 0.000 5.070 Pm
18.017 0.000 6.587 Pm
2.604 0.000 2.925 Sb
9.794 0.000 0.000 Sb
14.924 0.000 5.852 Sb
1.558 0.000 7.331 Te
15.970 0.000 1.446 Te
8.764 0.000 4.388 Pb
```

=====

[3]
DFT (PBE) results for Pm6Sb3TePb2 after structural relaxation.

Values from the calculation:
Total energy (eV per atom): -5.29
Energy relative to the elements, uncorrected (meV per atom): -1007
Mass density (g cm⁻³): 7.60
SG: C2/m

POSCAR file:
```
Pm6Sb3TePb2
1.0
9.846 -2.228 0.000
9.846 2.228 0.000
-2.140 0.000 8.854
Pm Sb Te Pb
6 3 1 2
Cartesian
-0.517 0.000 2.171 Pm
18.069 0.000 6.683 Pm
5.648 0.000 3.722 Pm
4.643 0.000 8.074 Pm
12.909 0.000 0.780 Pm
11.904 0.000 5.132 Pm
2.540 0.000 2.958 Sb
9.846 0.000 0.000 Sb
15.012 0.000 5.896 Sb
8.776 0.000 4.427 Te
1.499 0.000 7.380 Pb
16.053 0.000 1.474 Pb
```

=====

[4]
DFT (PBE) results for Pm4SbTe2Pb after structural relaxation.

Values from the calculation:
Total energy (eV per atom): -5.33
Energy relative to the elements, uncorrected (meV per atom): -1191
Mass density (g cm⁻³): 7.48
SG: P2/m

POSCAR file:
```
Pm4SbTe2Pb
1.0
7.794 0.000 0.000
0.000 4.511 0.000
-2.602 0.000 7.351
Pm Sb Te Pb
4 1 2 1
Cartesian
1.233 0.000 1.817 Pm
-0.058 2.256 5.494 Pm
5.250 2.256 1.857 Pm
3.958 0.000 5.535 Pm
0.000 2.256 0.000 Sb
3.897 0.000 0.000 Te
2.596 2.256 3.676 Te
-1.301 0.000 3.676 Pb
```

=====

[5]
DFT (PBE) results for PmTmSbPb after structural relaxation.

Values from the calculation:
Total energy (eV per atom): -4.80
Energy relative to the elements, uncorrected (meV per atom): -539
Mass density (g cm⁻³): 9.34
SG: F-43m

POSCAR file:
```
PmTmSbPb
1.0
0.000 3.852 3.852
3.852 0.000 3.852
3.852 3.852 0.000
Pm Tm Sb Pb
1 1 1 1
Cartesian
0.000 0.000 0.000 Pm
3.852 3.852 3.852 Tm
5.778 5.778 5.778 Sb
1.926 1.926 1.926 Pb
```

=====

[6]
DFT (PBE) results for Pm2ScPb after structural relaxation.

Values from the calculation:
Total energy (eV per atom): -4.78
Distance to the lowest polymorph of the same formula (eV/atom): 0.395
Mass density (g cm⁻³): 7.36
Energy of formation (meV per atom): 104
SG: R-3m

POSCAR file:
```
Pm2ScPb
1.0
1.717 0.991 11.975
-1.717 0.991 11.975
0.000 -1.982 11.975
Pm Sc Pb
2 1 1
Cartesian
0.000 0.000 3.205 Pm
0.000 0.000 32.721 Pm
0.000 0.000 0.000 Sc
0.000 0.000 17.963 Pb
```

=====

[7]
DFT (PBE) results for Pm2ScPb after structural relaxation.

Values from the calculation:
Total energy (eV per atom): -5.00
Distance to the lowest polymorph of the same formula (eV/atom): 0.172
Mass density (g cm⁻³): 7.39
Energy of formation (meV per atom): -119
SG: R3m

POSCAR file:
```
Pm2ScPb
1.0
1.791 1.034 10.964
-1.791 1.034 10.964
0.000 -2.068 10.964
Pm Sc Pb
2 1 1
Cartesian
0.000 0.000 0.000 Pm
0.000 0.000 5.418 Pm
0.000 0.000 24.635 Sc
0.000 0.000 19.158 Pb
```

=====

[8]
DFT (PBE) results for Pm3ScPb3 after structural relaxation.

Values from the calculation:
Total energy (eV per atom): -4.78
Mass density (g cm⁻³): 7.31
Energy of formation (meV per atom): -253
SG: P6_3/m

POSCAR file:
```
Pm3ScPb3
1.0
9.538 0.000 0.000
-4.769 8.260 0.000
0.000 0.000 6.349
Pm Sc Pb
6 2 6
Cartesian
-2.782 5.669 1.587 Pm
1.251 3.016 1.587 Pm
3.238 0.425 4.762 Pm
1.531 7.836 1.587 Pm
3.518 5.244 4.762 Pm
7.552 2.592 4.762 Pm
0.000 5.507 4.762 Sc
4.769 2.753 1.587 Sc
-2.930 5.725 4.762 Pb
1.277 2.860 4.762 Pb
3.115 0.324 1.587 Pb
1.654 7.936 4.762 Pb
3.492 5.400 1.587 Pb
7.700 2.536 1.587 Pb
```